Entry 1:
This record from Alexandria describes a relaxed MgAlP2 crystal. The functional is PBE-GGA.

Cell: 5.662 4.506 3.627 Å, 78.10 71.79 120.17°
Sites, in units of the cell vectors:
P  0.500  0.000  0.500
P  0.000  0.000  0.000
Al  0.000  0.500  0.500
Mg  0.500  0.500  0.000

Output
The value obtained for the calculated volume is 17.04 A^3/atom. The formation energy comes out at -16 kJ/mol of formula units. The space group is C2/m. The final energy comes out at -16.32 eV/cell.

***

Entry 2:
This record from Alexandria describes a relaxed MgAlP2 crystal. The functional is PBE-GGA.

Cell: 3.661 3.661 5.191 Å, 90.00 90.00 90.00°
Sites, in units of the cell vectors:
Al  0.000  0.000  0.375
Mg  0.500  0.500  0.875
P  0.500  0.500  0.375
P  0.000  0.000  0.875

Output
The value obtained for the calculated volume is 17.39 A^3/atom. The formation energy comes out at -101 kJ/mol of formula units. The space group is P4/mmm. The final energy comes out at -17.20 eV/cell.

***

Entry 3:
This record from Alexandria describes a relaxed Mg2AlP crystal. The functional is PBE-GGA.

Cell: 3.572 3.980 5.789 Å, 110.05 90.09 90.00°
Sites, in units of the cell vectors:
P  0.908  0.937  0.304
Al  0.407  0.781  0.991
Mg  0.409  0.500  0.429
Mg  0.908  0.180  0.788

Output
The value obtained for the calculated volume is 19.33 A^3/atom. The formation energy comes out at -83 kJ/mol of formula units. The space group is Cm. The final energy comes out at -13.20 eV/cell.